[1]
An optimized crystal structure of Ge2TeAs2, computed with PBE.

The calculation puts the density at 6.36 g/cm³. The formation energy from raw total energies is 0.314 eV/atom. The energy above the lowest structure with this stoichiometry is 107 meV per atom. The crystal system is tetragonal. The value obtained for the density of states at the Fermi level is 5.66 states/eV/cell.

The space group is P4/mbm (No. 127) and the conventional cell measures 7.892, 7.892 and 3.543 Å, with angles of 90.00, 90.00 and 90.00 degrees. The asymmetric unit holds Ge at (0.144, 0.356, 0.000), Te at (0.000, 0.000, 0.500) and As at (0.165, 0.665, 0.500).



[2]
An optimized crystal structure of GeIBr, computed with PBE.

The calculation puts the density at 4.20 g/cm³. The formation energy from raw total energies is -0.395 eV/atom. The energy above the lowest structure with this stoichiometry is 44 meV per atom. The crystal system is orthorhombic. The value obtained for the density of states at the Fermi level is 0.00 states/eV/cell.

The space group is Pmn2_1 (No. 31) and the conventional cell measures 4.234, 7.412 and 7.045 Å, with angles of 90.00, 90.00 and 90.00 degrees. The asymmetric unit holds Ge at (0.000, 0.206, 0.000), I at (0.000, 0.604, 0.303) and Br at (0.000, 0.928, 0.787).